Record 1
Density functional theory data (PBE-GGA) for an optimized crystal structure of ThCdInAg.

a b c (Å): 3.2975 5.6496 5.7290
angles (deg): 90.00 90.00 90.00
Space group Pmmm (No. 47)
One atom of each set of equivalent atoms:
Th: 0.0000 0.0000 0.0000 (multiplicity 1)
Cd: 0.5000 0.5000 0.5000 (multiplicity 1)
In: 0.5000 0.0000 0.5000 (multiplicity 1)
Ag: 0.5000 0.5000 0.0000 (multiplicity 1)

Summary:
Its energy above the most stable polymorph in this dataset is 0.234 eV per atom. As for the energy of formation from the pure elements: 0.091 eV per atom. The calculated volume is 106.7 Å³/f.u. As for the total magnetic moment: 0.00 μB/atom.

Record 2
Density functional theory data (PBE-GGA) for an optimized crystal structure of ThCd4InAg5.

a b c (Å): 5.3924 5.3924 8.7616
angles (deg): 90.00 90.00 90.00
Space group P4/mmm (No. 123)
One atom of each set of equivalent atoms:
Th: 0.0000 0.0000 0.0000 (multiplicity 1)
Cd: 0.0000 0.5000 0.5000 (multiplicity 2)
Cd: 0.5000 0.5000 0.3308 (multiplicity 2)
In: 0.5000 0.5000 0.0000 (multiplicity 1)
Ag: 0.0000 0.0000 0.5000 (multiplicity 1)
Ag: 0.0000 0.5000 0.1771 (multiplicity 4)

Summary:
As for the energy of formation from the pure elements: 0.143 eV per atom. The calculated volume is 254.8 Å³/f.u. As for the total magnetic moment: 0.00 μB/atom.

Record 3
Density functional theory data (PBE-GGA) for an optimized crystal structure of ThCdInAg.

a b c (Å): 7.2912 7.2912 7.2912
angles (deg): 90.00 90.00 90.00
Space group F-43m (No. 216)
One atom of each set of equivalent atoms:
Th: 0.0000 0.0000 0.0000 (multiplicity 4)
Cd: 0.2500 0.2500 0.2500 (multiplicity 4)
In: 0.0000 0.0000 0.5000 (multiplicity 4)
Ag: 0.2500 0.2500 0.7500 (multiplicity 4)

Summary:
Its energy above the most stable polymorph in this dataset is 0.000 eV per atom. As for the energy of formation from the pure elements: -0.143 eV per atom. The calculated volume is 96.9 Å³/f.u. As for the total magnetic moment: 0.00 μB/atom.

Record 4
Density functional theory data (PBE-GGA) for an optimized crystal structure of TmCd2In2Ag2.

a b c (Å): 9.1108 4.6394 7.4883
angles (deg): 90.00 100.86 90.00
Space group C2/m (No. 12)
One atom of each set of equivalent atoms:
Tm: 0.0000 0.0000 0.0000 (multiplicity 2)
Cd: 0.0876 0.5000 0.7021 (multiplicity 4)
In: 0.2094 0.5000 0.1892 (multiplicity 4)
Ag: 0.1283 0.0000 0.4196 (multiplicity 4)

Summary:
As for the energy of formation from the pure elements: -0.140 eV per atom. The calculated volume is 155.4 Å³/f.u. As for the total magnetic moment: 0.00 μB/atom.

Record 5
Density functional theory data (PBE-GGA) for an optimized crystal structure of Tm4CdInAg2.

a b c (Å): 5.1651 5.1651 25.3306
angles (deg): 90.00 90.00 120.00
Space group R-3m (No. 166, hexagonal axes)
One atom of each set of equivalent atoms:
Tm: 0.0000 0.0000 0.1242 (multiplicity 6)
Tm: 0.0000 0.0000 0.3742 (multiplicity 6)
Cd: 0.0000 0.0000 0.0000 (multiplicity 3)
In: 0.0000 0.0000 0.5000 (multiplicity 3)
Ag: 0.0000 0.0000 0.2514 (multiplicity 6)

Summary:
As for the energy of formation from the pure elements: -0.352 eV per atom. The calculated volume is 195.1 Å³/f.u. As for the total magnetic moment: 0.00 μB/atom.

Record 6
Density functional theory data (PBE-GGA) for an optimized crystal structure of TmCdInAg.

a b c (Å): 7.0631 7.0631 7.0631
angles (deg): 90.00 90.00 90.00
Space group F-43m (No. 216)
One atom of each set of equivalent atoms:
Tm: 0.0000 0.0000 0.0000 (multiplicity 4)
Cd: 0.2500 0.2500 0.7500 (multiplicity 4)
In: 0.0000 0.0000 0.5000 (multiplicity 4)
Ag: 0.2500 0.2500 0.2500 (multiplicity 4)

Summary:
As for the energy of formation from the pure elements: -0.254 eV per atom. The calculated volume is 88.1 Å³/f.u. As for the total magnetic moment: 0.00 μB/atom.

Record 7
Density functional theory data (PBE-GGA) for an optimized crystal structure of TmCdInAg.

a b c (Å): 5.0336 5.0336 7.0187
angles (deg): 90.00 90.00 90.00
Space group I-4m2 (No. 119)
One atom of each set of equivalent atoms:
Tm: 0.0000 0.0000 0.0000 (multiplicity 2)
Cd: 0.0000 0.0000 0.5000 (multiplicity 2)
In: 0.0000 0.5000 0.2500 (multiplicity 2)
Ag: 0.0000 0.5000 0.7500 (multiplicity 2)

Summary:
As for the energy of formation from the pure elements: -0.253 eV per atom. The calculated volume is 88.9 Å³/f.u. As for the total magnetic moment: 0.00 μB/atom.

Record 8
Density functional theory data (PBE-GGA) for an optimized crystal structure of YCdInAg2.

a b c (Å): 5.5547 5.5547 6.0349
angles (deg): 90.00 90.00 90.00
Space group P4/mmm (No. 123)
One atom of each set of equivalent atoms:
Y: 0.0000 0.0000 0.0000 (multiplicity 1)
Cd: 0.5000 0.5000 0.5000 (multiplicity 1)
In: 0.0000 0.0000 0.5000 (multiplicity 1)
Ag: 0.0000 0.5000 0.0000 (multiplicity 2)

Summary:
As for the energy of formation from the pure elements: 0.763 eV per atom. The calculated volume is 186.2 Å³/f.u. As for the total magnetic moment: 0.00 μB/atom.